DFT (GGA+U) results for YbWO3 after structural relaxation.

## Properties
E_tot: -6.8635 eV/atom
calculated volume: 67.6 Å³/cell

Unit cell a=4.0744 b=4.0744 c=4.0744 alpha=90.00 beta=90.00 gamma=90.00
Site moments in Bohr magnetons follow the coordinates.
Sites, in units of the cell vectors:
Yb  0.0000  0.0000  0.0000  0.26
W  0.5000  0.5000  0.5000  1.89
O  0.5000  0.5000  0.0000  0.01
O  0.5000  0.0000  0.5000  0.01
O  0.0000  0.5000  0.5000  0.01